Computed, not measured: PuHfSe2 after structural relaxation at the GGA-PBE level of DFT.

```
PuHfSe2
1.0
1.8584 1.0729 7.4445
-1.8584 1.0729 7.4445
0.0000 -2.1459 7.4445
Pu Hf Se
1 1 2
Direct
0.0000 0.0000 0.0000
0.1705 0.1705 0.1705
0.4268 0.4268 0.4268
0.5780 0.5780 0.5780
```

Output
energy relative to the lowest polymorph listed for this composition = 0 kJ/mol of formula units
ΔE_f (raw) = -1.2082 eV per atom